No. 1
A plane-wave DFT calculation with PBE was carried out for crystalline Al2FeBi at its relaxed geometry.

Unit cell a=6.683 b=6.683 c=6.683 alpha=90.00 beta=90.00 gamma=90.00
Space group F-43m (No. 216)
Asymmetric unit:
Al  0.000  0.000  0.000 (multiplicity 4)
Al  0.250  0.250  0.250 (multiplicity 4)
Fe  0.250  0.250  0.750 (multiplicity 4)
Bi  0.000  0.000  0.500 (multiplicity 4)

Values from the calculation:
Size of the total moment in μB per atom: 0.46
E in eV per cell: -71.40



No. 2
A plane-wave DFT calculation with PBE was carried out for crystalline AlFeBi at its relaxed geometry.

Unit cell a=6.159 b=6.159 c=6.159 alpha=90.00 beta=90.00 gamma=90.00
Space group F-43m (No. 216)
Asymmetric unit:
Al  0.000  0.000  0.000 (multiplicity 4)
Fe  0.250  0.250  0.250 (multiplicity 4)
Bi  0.000  0.000  0.500 (multiplicity 4)

Values from the calculation:
Size of the total moment in μB per atom: 0.46
E in eV per cell: -61.33



No. 3
A plane-wave DFT calculation with PBE was carried out for crystalline AlFe2Bi at its relaxed geometry.

Unit cell a=6.417 b=6.417 c=6.417 alpha=90.00 beta=90.00 gamma=90.00
Space group Pm-3m (No. 221)
Asymmetric unit:
Al  0.000  0.000  0.000 (multiplicity 1)
Al  0.000  0.000  0.500 (multiplicity 3)
Fe  0.211  0.211  0.211 (multiplicity 8)
Bi  0.000  0.500  0.500 (multiplicity 3)
Bi  0.500  0.500  0.500 (multiplicity 1)

Values from the calculation:
Size of the total moment in μB per atom: 1.07
E in eV per cell: -93.06



No. 4
A plane-wave DFT calculation with PBE was carried out for crystalline MgAlFeBi at its relaxed geometry.

Unit cell a=6.606 b=6.606 c=6.606 alpha=90.00 beta=90.00 gamma=90.00
Space group F-43m (No. 216)
Asymmetric unit:
Mg  0.000  0.000  0.000 (multiplicity 4)
Al  0.250  0.250  0.750 (multiplicity 4)
Fe  0.000  0.000  0.500 (multiplicity 4)
Bi  0.250  0.250  0.250 (multiplicity 4)

Values from the calculation:
Size of the total moment in μB per atom: 0.42
E in eV per cell: -64.38



No. 5
A plane-wave DFT calculation with PBE was carried out for crystalline AlBiMoH6 at its relaxed geometry.

Unit cell a=6.756 b=6.756 c=6.756 alpha=90.00 beta=90.00 gamma=90.00
Space group F-43m (No. 216)
Asymmetric unit:
Al  0.000  0.000  0.000 (multiplicity 4)
Bi  0.250  0.250  0.750 (multiplicity 4)
Mo  0.000  0.000  0.500 (multiplicity 4)
H  0.101  0.250  0.250 (multiplicity 24)

Values from the calculation:
Size of the total moment in μB per atom: 0.01
E in eV per cell: -120.81



No. 6
A plane-wave DFT calculation with PBE was carried out for crystalline HfAl2Bi at its relaxed geometry.

Unit cell a=7.075 b=7.075 c=7.075 alpha=90.00 beta=90.00 gamma=90.00
Space group F-43m (No. 216)
Asymmetric unit:
Hf  0.000  0.000  0.000 (multiplicity 4)
Al  0.000  0.000  0.500 (multiplicity 4)
Al  0.250  0.250  0.250 (multiplicity 4)
Bi  0.250  0.250  0.750 (multiplicity 4)

Values from the calculation:
Size of the total moment in μB per atom: 0.04
E in eV per cell: -80.54



No. 7
A plane-wave DFT calculation with PBE was carried out for crystalline Hf4AlBiN2 at its relaxed geometry.

Unit cell a=3.2609 b=3.2609 c=14.4709 alpha=90.00 beta=90.00 gamma=120.00
Space group P-6m2 (No. 187)
Asymmetric unit:
Hf  0.0000  0.0000  0.1565 (multiplicity 2)
Hf  0.6667  0.3333  0.3288 (multiplicity 2)
Al  0.6667  0.3333  0.0000 (multiplicity 1)
Bi  0.0000  0.0000  0.5000 (multiplicity 1)
N  0.3333  0.6667  0.2413 (multiplicity 2)

Values from the calculation:
Size of the total moment in μB per atom: 0.00
E in eV per cell: -71.59



No. 8
A plane-wave DFT calculation with PBE was carried out for crystalline Hf3Zr3AlBi2 at its relaxed geometry.

Unit cell a=7.6488 b=7.6488 c=4.0341 alpha=90.00 beta=90.00 gamma=120.00
Space group P-62m (No. 189)
Asymmetric unit:
Hf  0.0000  0.7646  0.0000 (multiplicity 3)
Zr  0.0000  0.3928  0.5000 (multiplicity 3)
Al  0.0000  0.0000  0.5000 (multiplicity 1)
Bi  0.3333  0.6667  0.0000 (multiplicity 2)

Values from the calculation:
Size of the total moment in μB per atom: 0.00
E in eV per cell: -70.50



No. 9
A plane-wave DFT calculation with PBE was carried out for crystalline Hf3Zr3AlBi2 at its relaxed geometry.

Unit cell a=7.7059 b=7.7059 c=3.9910 alpha=90.00 beta=90.00 gamma=120.00
Space group P-62m (No. 189)
Asymmetric unit:
Hf  0.0000  0.3880  0.0000 (multiplicity 3)
Zr  0.0000  0.7593  0.5000 (multiplicity 3)
Al  0.0000  0.0000  0.0000 (multiplicity 1)
Bi  0.3333  0.6667  0.5000 (multiplicity 2)

Values from the calculation:
Size of the total moment in μB per atom: 0.00
E in eV per cell: -69.76



No. 10
A plane-wave DFT calculation with PBE was carried out for crystalline Al2BiIr at its relaxed geometry.

Unit cell a=6.685 b=6.685 c=6.685 alpha=90.00 beta=90.00 gamma=90.00
Space group F-43m (No. 216)
Asymmetric unit:
Al  0.000  0.000  0.000 (multiplicity 4)
Al  0.250  0.250  0.250 (multiplicity 4)
Bi  0.000  0.000  0.500 (multiplicity 4)
Ir  0.250  0.250  0.750 (multiplicity 4)

Values from the calculation:
Size of the total moment in μB per atom: 0.00
E in eV per cell: -78.09



No. 11
A plane-wave DFT calculation with PBE was carried out for crystalline AlBi2Ir at its relaxed geometry.

Unit cell a=7.086 b=7.086 c=7.086 alpha=90.00 beta=90.00 gamma=90.00
Space group F-43m (No. 216)
Asymmetric unit:
Al  0.000  0.000  0.000 (multiplicity 4)
Bi  0.000  0.000  0.500 (multiplicity 4)
Bi  0.250  0.250  0.750 (multiplicity 4)
Ir  0.250  0.250  0.250 (multiplicity 4)

Values from the calculation:
Size of the total moment in μB per atom: 0.00
E in eV per cell: -75.21



No. 12
A plane-wave DFT calculation with PBE was carried out for crystalline LiAlBiIr at its relaxed geometry.

Unit cell a=6.505 b=6.505 c=6.505 alpha=90.00 beta=90.00 gamma=90.00
Space group F-43m (No. 216)
Asymmetric unit:
Li  0.000  0.000  0.000 (multiplicity 4)
Al  0.250  0.250  0.750 (multiplicity 4)
Bi  0.250  0.250  0.250 (multiplicity 4)
Ir  0.000  0.000  0.500 (multiplicity 4)

Values from the calculation:
Size of the total moment in μB per atom: 0.00
E in eV per cell: -77.52



No. 13
A plane-wave DFT calculation with PBE was carried out for crystalline LiAlBiIr at its relaxed geometry.

Unit cell a=6.525 b=6.525 c=6.525 alpha=90.00 beta=90.00 gamma=90.00
Space group F-43m (No. 216)
Asymmetric unit:
Li  0.000  0.000  0.000 (multiplicity 4)
Al  0.000  0.000  0.500 (multiplicity 4)
Bi  0.250  0.250  0.250 (multiplicity 4)
Ir  0.250  0.250  0.750 (multiplicity 4)

Values from the calculation:
Size of the total moment in μB per atom: 0.00
E in eV per cell: -74.35



No. 14
A plane-wave DFT calculation with PBE was carried out for crystalline NaAlBiIr at its relaxed geometry.

Unit cell a=6.858 b=6.858 c=6.858 alpha=90.00 beta=90.00 gamma=90.00
Space group F-43m (No. 216)
Asymmetric unit:
Na  0.000  0.000  0.000 (multiplicity 4)
Al  0.250  0.250  0.250 (multiplicity 4)
Bi  0.000  0.000  0.500 (multiplicity 4)
Ir  0.250  0.250  0.750 (multiplicity 4)

Values from the calculation:
Size of the total moment in μB per atom: 0.00
E in eV per cell: -65.72



No. 15
A plane-wave DFT calculation with PBE was carried out for crystalline NaAlBiIr at its relaxed geometry.

Unit cell a=6.685 b=6.685 c=6.685 alpha=90.00 beta=90.00 gamma=90.00
Space group F-43m (No. 216)
Asymmetric unit:
Na  0.000  0.000  0.000 (multiplicity 4)
Al  0.250  0.250  0.750 (multiplicity 4)
Bi  0.250  0.250  0.250 (multiplicity 4)
Ir  0.000  0.000  0.500 (multiplicity 4)

Values from the calculation:
Size of the total moment in μB per atom: 0.00
E in eV per cell: -71.65



No. 16
A plane-wave DFT calculation with PBE was carried out for crystalline Nb2AlBiIr2 at its relaxed geometry.

Unit cell a=6.211 b=6.211 c=12.406 alpha=90.00 beta=90.00 gamma=90.00
Space group I-42d (No. 122)
Asymmetric unit:
Nb  0.000  0.000  0.244 (multiplicity 8)
Al  0.000  0.000  0.000 (multiplicity 4)
Bi  0.000  0.000  0.500 (multiplicity 4)
Ir  0.231  0.250  0.125 (multiplicity 8)

Values from the calculation:
Size of the total moment in μB per atom: 0.00
E in eV per cell: -192.92



No. 17
A plane-wave DFT calculation with PBE was carried out for crystalline LuAl2Bi at its relaxed geometry.

Unit cell a=7.263 b=7.263 c=7.263 alpha=90.00 beta=90.00 gamma=90.00
Space group F-43m (No. 216)
Asymmetric unit:
Lu  0.000  0.000  0.000 (multiplicity 4)
Al  0.000  0.000  0.500 (multiplicity 4)
Al  0.250  0.250  0.250 (multiplicity 4)
Bi  0.250  0.250  0.750 (multiplicity 4)

Values from the calculation:
Size of the total moment in μB per atom: 0.00
E in eV per cell: -63.31



No. 18
A plane-wave DFT calculation with PBE was carried out for crystalline Lu4AlBiN2 at its relaxed geometry.

Unit cell a=3.4509 b=3.4509 c=14.8114 alpha=90.00 beta=90.00 gamma=120.00
Space group P-6m2 (No. 187)
Asymmetric unit:
Lu  0.0000  0.0000  0.1592 (multiplicity 2)
Lu  0.6667  0.3333  0.3310 (multiplicity 2)
Al  0.6667  0.3333  0.0000 (multiplicity 1)
Bi  0.0000  0.0000  0.5000 (multiplicity 1)
N  0.3333  0.6667  0.2500 (multiplicity 2)

Values from the calculation:
Size of the total moment in μB per atom: 0.00
E in eV per cell: -50.99



No. 19
A plane-wave DFT calculation with PBE was carried out for crystalline MgAlBiOs at its relaxed geometry.

Unit cell a=6.650 b=6.650 c=6.650 alpha=90.00 beta=90.00 gamma=90.00
Space group F-43m (No. 216)
Asymmetric unit:
Mg  0.000  0.000  0.000 (multiplicity 4)
Al  0.250  0.250  0.750 (multiplicity 4)
Bi  0.250  0.250  0.250 (multiplicity 4)
Os  0.000  0.000  0.500 (multiplicity 4)

Values from the calculation:
Size of the total moment in μB per atom: 0.00
E in eV per cell: -77.20



No. 20
A plane-wave DFT calculation with PBE was carried out for crystalline Al2BiMo at its relaxed geometry.

Unit cell a=6.723 b=6.723 c=6.723 alpha=90.00 beta=90.00 gamma=90.00
Space group F-43m (No. 216)
Asymmetric unit:
Al  0.000  0.000  0.000 (multiplicity 4)
Al  0.250  0.250  0.250 (multiplicity 4)
Bi  0.000  0.000  0.500 (multiplicity 4)
Mo  0.250  0.250  0.750 (multiplicity 4)

Values from the calculation:
Size of the total moment in μB per atom: 0.00
E in eV per cell: -79.84